Entry from the Alexandria database: KBa2NiSn after structural relaxation (GGA-PBE).

Total magnetic moment (μB per cell): 0.84
Electronic total energy (eV per atom): -3.096

Cell lengths 6.220, 6.220, 5.045 Å; angles 90.00, 90.00, 90.00 degrees
Site moments in Bohr magnetons follow the coordinates.
Sites, in units of the cell vectors:
Sn 0.000 0.000 0.500  0.03
Ba 0.500 0.000 0.000  0.06
Ba 0.000 0.500 0.000  0.06
Ni 0.000 0.000 0.000  0.09
K 0.500 0.500 0.500  0.03



Entry from the Alexandria database: KBa2TlNi after structural relaxation (GGA-PBE).

Total magnetic moment (μB per cell): 0.83
Electronic total energy (eV per atom): -2.631

Cell lengths 6.190, 6.190, 5.251 Å; angles 90.00, 90.00, 90.00 degrees
Site moments in Bohr magnetons follow the coordinates.
Sites, in units of the cell vectors:
K 0.500 0.500 0.500  0.02
Ba 0.500 0.000 0.000  0.07
Ba 0.000 0.500 0.000  0.07
Ni 0.000 0.000 0.000  0.02
Tl 0.000 0.000 0.500  0.02



Entry from the Alexandria database: KBa2ZnNi after structural relaxation (GGA-PBE).

Total magnetic moment (μB per cell): 0.23
Electronic total energy (eV per atom): -2.317

Cell lengths 6.149, 6.149, 5.013 Å; angles 90.00, 90.00, 90.00 degrees
Sites, in units of the cell vectors:
Zn 0.000 0.000 0.500
Ni 0.000 0.000 0.000
Ba 0.000 0.500 0.000
Ba 0.500 0.000 0.000
K 0.500 0.500 0.500